Entry 1:
A plane-wave DFT calculation with PBE was carried out for a relaxed structure of ReAg2Ir.

Lattice parameters (Å, degrees): 5.231 9.058 2.726 90.00 90.00 90.00
Fractional positions:
1 Re 0.000 0.000 0.000
2 Re 0.500 0.500 0.000
3 Ag 0.250 0.250 0.500
4 Ag 0.250 0.750 0.500
5 Ag 0.750 0.250 0.500
6 Ag 0.750 0.750 0.500
7 Ir 0.000 0.500 0.000
8 Ir 0.500 0.000 0.000

Properties
Its space-group type is Cmmm. For the energy of formation, the calculation gives 0.69 eV per atom. The density of states at the Fermi level is 0.7951 states/eV/atom.

Entry 2:
A plane-wave DFT calculation with PBE was carried out for a relaxed structure of MnTcCl2.

Lattice parameters (Å, degrees): 5.534 5.534 10.462 90.00 90.00 90.00
Fractional positions:
1 Mn 0.000 0.000 0.000
2 Mn 0.000 0.500 0.250
3 Mn 0.500 0.000 0.750
4 Mn 0.500 0.500 0.500
5 Tc 0.000 0.000 0.500
6 Tc 0.000 0.500 0.750
7 Tc 0.500 0.000 0.250
8 Tc 0.500 0.500 0.000
9 Cl 0.249 0.250 0.125
10 Cl 0.250 0.749 0.375
11 Cl 0.250 0.751 0.875
12 Cl 0.251 0.250 0.625
13 Cl 0.749 0.750 0.625
14 Cl 0.750 0.249 0.875
15 Cl 0.750 0.251 0.375
16 Cl 0.751 0.750 0.125

Properties
Its formation energy without anion corrections is 539 meV per atom. Its space-group type is I-42d. The density of states at the Fermi level is 0.5662 states/eV/atom.

Entry 3:
A plane-wave DFT calculation with PBE was carried out for a relaxed structure of TcH2Ir2.

Lattice parameters (Å, degrees): 6.545 6.545 2.747 90.00 90.00 90.00
Fractional positions:
1 Tc 0.000 0.000 0.000
2 Tc 0.500 0.500 0.000
3 H 0.245 0.255 0.500
4 H 0.255 0.755 0.500
5 H 0.745 0.245 0.500
6 H 0.755 0.745 0.500
7 Ir 0.139 0.639 0.000
8 Ir 0.361 0.139 0.000
9 Ir 0.639 0.861 0.000
10 Ir 0.861 0.361 0.000

Properties
Its space-group type is P4/mbm. The density of states at the Fermi level is 0.6637 states/eV/atom.

Entry 4:
A plane-wave DFT calculation with PBE was carried out for a relaxed structure of BaBe2Rh.

Lattice parameters (Å, degrees): 3.937 6.055 7.538 90.00 90.00 90.00
Fractional positions:
1 Ba 0.000 0.000 0.000
2 Ba 0.500 0.500 0.500
3 Be 0.000 0.000 0.497
4 Be 0.000 0.500 0.854
5 Be 0.500 0.000 0.354
6 Be 0.500 0.500 0.997
7 Rh 0.000 0.500 0.129
8 Rh 0.500 0.000 0.629

Properties
Its space-group type is Imm2. For the energy of formation, the calculation gives 0.25 eV per atom. The density of states at the Fermi level is 0.5396 states/eV/atom.

Number 1: E -6.064 eV/atom, energy relative to the lowest polymorph listed for this composition 0.481 eV/atom. Number 2: E -5.268 eV/atom, energy relative to the lowest polymorph listed for this composition 0.736 eV/atom. Number 3: E -6.312 eV/atom, energy relative to the lowest polymorph listed for this composition 0.533 eV/atom. Number 4: E -3.930 eV/atom, energy relative to the lowest polymorph listed for this composition 0.442 eV/atom.